# 1
First-principles (GGA-PBE) data for a relaxed Ni3Ir crystal, as listed in Alexandria via LeMat-Bulk.

a b c (Å): 2.5418 4.1186 4.6734
angles (deg): 90.00 96.66 90.00
With the nearest neighbours (Å) after each atom.
Space group P2/m (No. 10)
One atom of each set of equivalent atoms:
Ni 0.0000 0.0000 0.0000 x1  6 Ni 2.40-2.54, 2 Ir 2.53
Ni 0.1383 0.5000 0.7540 x2  6 Ni 2.40-2.54, 2 Ir 2.60
Ir 0.5000 0.0000 0.5000 x1  12 Ni 2.53-2.80, 2 Ir 2.54

Properties
ΔH_f (0 K)   148 meV/atom



# 2
First-principles (GGA-PBE) data for a relaxed CdFeAg crystal, as listed in Alexandria via LeMat-Bulk.

a b c (Å): 2.8703 2.8703 7.1356
angles (deg): 90.00 90.00 120.00
With the nearest neighbours (Å) after each atom.
Space group P3m1 (No. 156)
One atom of each set of equivalent atoms:
Cd 0.0000 0.0000 0.0000 x1  3 Fe 2.86, 6 Cd 2.87, 3 Ag 3.06
Fe 0.6667 0.3333 0.3265 x1  3 Ag 2.78, 3 Cd 2.86, 6 Fe 2.87
Ag 0.3333 0.6667 0.6388 x1  3 Fe 2.78, 6 Ag 2.87, 3 Cd 3.06

Properties
Distance to the lowest polymorph of the same formula   0.044 eV per atom
ΔH_f (0 K)   317 meV/atom



# 3
First-principles (GGA-PBE) data for a relaxed SiIr2Br crystal, as listed in Alexandria via LeMat-Bulk.

a b c (Å): 3.6536 4.0181 6.1175
angles (deg): 90.00 92.03 90.00
With the nearest neighbours (Å) after each atom.
Space group Pm (No. 6)
One atom of each set of equivalent atoms:
Si 0.0000 0.0000 0.0000 x1  4 Ir 2.25-2.44
Ir 0.4846 0.0000 0.7353 x1  2 Si 2.44, 2 Br 2.57
Ir 0.9857 0.5000 0.8333 x1  2 Si 2.25
Br 0.5121 0.5000 0.4735 x1  3 Ir 2.57-2.75

Properties
Formation energy from raw total energies   0.33 eV per atom
Distance to the lowest polymorph of the same formula   0.383 eV per atom



# 4
First-principles (GGA-PBE) data for a relaxed Rb3CdSb2 crystal, as listed in Alexandria via LeMat-Bulk.

a b c (Å): 13.3679 5.1694 14.6133
angles (deg): 90.00 90.51 90.00
With the nearest neighbours (Å) after each atom.
Space group C2/m (No. 12)
One atom of each set of equivalent atoms:
Rb 0.1319 0.0000 0.0285 x4  1 Rb 3.62, 3 Sb 3.76-3.84
Rb 0.1423 0.5000 0.5781 x4  6 Sb 3.65-3.97, 2 Cd 3.80
Rb 0.1510 0.5000 0.2628 x4  3 Sb 3.65-3.88, 3 Cd 3.83-3.86
Cd 0.0631 0.0000 0.7535 x4  3 Sb 2.97-2.99
Sb 0.0607 0.0000 0.4176 x4  1 Sb 2.92, 1 Cd 2.99
Sb 0.1172 0.5000 0.8417 x4  2 Cd 2.97

Properties
Formation energy from raw total energies   -0.36 eV per atom
Distance to the lowest polymorph of the same formula   0.000 eV per atom



# 5
First-principles (GGA-PBE) data for a relaxed ZrGaTc3 crystal, as listed in Alexandria via LeMat-Bulk.

a b c (Å): 4.5459 4.5459 4.5459
angles (deg): 90.00 90.00 90.00
With the nearest neighbours (Å) after each atom.
Space group Pm-3m (No. 221)
One atom of each set of equivalent atoms:
Zr 0.0000 0.0000 0.0000 x1  12 Tc 3.21
Ga 0.5000 0.5000 0.5000 x1  6 Tc 2.27
Tc 0.0000 0.5000 0.5000 x3  2 Ga 2.27

Properties
Distance to the lowest polymorph of the same formula   0.000 eV per atom
ΔH_f (0 K)   945 meV/atom



# 6
First-principles (GGA-PBE) data for a relaxed CsKAsBr2 crystal, as listed in Alexandria via LeMat-Bulk.

a b c (Å): 6.2882 6.2882 6.2446
angles (deg): 90.00 90.00 90.00
With the nearest neighbours (Å) after each atom.
Space group P4/mmm (No. 123)
One atom of each set of equivalent atoms:
Cs 0.0000 0.0000 0.0000 x1  8 Br 4.43, 4 As 4.45
K 0.5000 0.5000 0.5000 x1  2 As 3.12, 4 Br 3.14
As 0.5000 0.5000 0.0000 x1  2 K 3.12
Br 0.0000 0.5000 0.5000 x2  2 K 3.14

Properties
Formation energy from raw total energies   -0.63 eV per atom
Distance to the lowest polymorph of the same formula   0.000 eV per atom



# 7
First-principles (GGA-PBE) data for a relaxed Ac2YErS6 crystal, as listed in Alexandria via LeMat-Bulk.

a b c (Å): 6.9372 7.5291 12.2603
angles (deg): 90.00 124.38 90.00
With the nearest neighbours (Å) after each atom.
Space group P2_1/c (No. 14)
One atom of each set of equivalent atoms:
Ac 0.2195 0.0868 0.2498 x4  6 S 2.97-3.21
Y 0.5000 0.0000 0.0000 x2  6 S 2.71-2.74
Er 0.0000 0.0000 0.5000 x2  6 S 2.68-2.72
S 0.1194 0.1921 0.9364 x4  1 Y 2.71, 1 Er 2.72, 1 Ac 3.01
S 0.2510 0.6899 0.9367 x4  1 Er 2.68, 1 Y 2.74
S 0.3750 0.0430 0.7486 x4  1 Er 2.68, 1 Y 2.71, 2 Ac 2.97-2.99

Properties
Formation energy from raw total energies   -2.16 eV per atom



# 8
First-principles (GGA-PBE) data for a relaxed CaPtF6 crystal, as listed in Alexandria via LeMat-Bulk.

a b c (Å): 5.3055 5.3055 10.0467
angles (deg): 90.00 90.00 120.00
With the nearest neighbours (Å) after each atom.
Space group P-31c (No. 163)
One atom of each set of equivalent atoms:
Ca 0.3333 0.6667 0.2500 x2  6 F 2.29
Pt 0.0000 0.0000 0.0000 x2  6 F 1.97
F 0.0032 0.3020 0.1154 x12  1 Pt 1.97

Properties
Formation energy from raw total energies   -2.36 eV per atom



# 9
First-principles (GGA-PBE) data for a relaxed TlSbPb2 crystal, as listed in Alexandria via LeMat-Bulk.

a b c (Å): 7.3193 9.5517 3.4810
angles (deg): 90.00 90.00 90.00
With the nearest neighbours (Å) after each atom.
Space group Cmmm (No. 65)
One atom of each set of equivalent atoms:
Tl 0.0000 0.0000 0.0000 x2  8 Pb 3.48, 2 Tl 3.48, 2 Sb 3.66
Sb 0.0000 0.5000 0.0000 x2  8 Pb 3.48, 2 Sb 3.48, 2 Tl 3.66
Pb 0.2500 0.2500 0.5000 x4  4 Tl 3.48, 4 Sb 3.48, 4 Pb 3.48-3.66

Properties
Formation energy from raw total energies   0.03 eV per atom
Distance to the lowest polymorph of the same formula   0.022 eV per atom



# 10
First-principles (GGA-PBE) data for a relaxed SrMnAl2 crystal, as listed in Alexandria via LeMat-Bulk.

a b c (Å): 3.1877 4.2172 6.7998
angles (deg): 90.00 98.56 90.00
With the nearest neighbours (Å) after each atom.
Space group Pm (No. 6)
One atom of each set of equivalent atoms:
Sr 0.0000 0.0000 0.0000 x1  2 Sr 3.19, 5 Al 3.25-3.27, 2 Mn 3.54
Mn 0.1895 0.5000 0.6041 x1  6 Al 2.67-2.72
Al 0.5900 0.5000 0.2855 x1  2 Al 2.66, 2 Mn 2.67
Al 0.6501 0.0000 0.5259 x1  2 Al 2.66, 4 Mn 2.67-2.72

Properties
ΔH_f (0 K)   99 meV/atom



# 11
First-principles (GGA-PBE) data for a relaxed NaSmHgRh crystal, as listed in Alexandria via LeMat-Bulk.

a b c (Å): 7.1029 7.1029 7.1029
angles (deg): 90.00 90.00 90.00
With the nearest neighbours (Å) after each atom.
Space group F-43m (No. 216)
One atom of each set of equivalent atoms:
Na 0.0000 0.0000 0.0000 x4  4 Rh 3.08, 4 Hg 3.08
Sm 0.0000 0.0000 0.5000 x4  4 Hg 3.08, 4 Rh 3.08
Hg 0.2500 0.2500 0.7500 x4  4 Na 3.08, 4 Sm 3.08
Rh 0.2500 0.2500 0.2500 x4  4 Na 3.08, 4 Sm 3.08

Properties
ΔH_f (0 K)   -215 meV/atom



# 12
First-principles (GGA-PBE) data for a relaxed Tl2GaBS4 crystal, as listed in Alexandria via LeMat-Bulk.

a b c (Å): 6.7130 6.7130 8.1216
angles (deg): 90.00 90.00 90.00
With the nearest neighbours (Å) after each atom.
Space group I-4 (No. 82)
One atom of each set of equivalent atoms:
Tl 0.0000 0.0000 0.0000 x2  4 S 3.07
Tl 0.0000 0.5000 0.2500 x2  8 S 3.28-3.52
Ga 0.0000 0.0000 0.5000 x2  4 S 2.34
B 0.0000 0.5000 0.7500 x2  4 S 1.96
S 0.1289 0.7170 0.6296 x8  1 B 1.96

Properties
Formation energy from raw total energies   -0.44 eV per atom